A plane-wave DFT calculation with GGA-PBE was carried out for crystalline CaAcEuLu at its relaxed geometry.

a = 6.039 Å, b = 6.039 Å, c = 6.039 Å
α = 60.00°, β = 60.00°, γ = 60.00°
Positions (direct):
Eu (0.000, 0.000, 0.000)
Ac (0.500, 0.500, 0.500)
Lu (0.750, 0.750, 0.750)
Ca (0.250, 0.250, 0.250)

density of states at the Fermi level = 18.58 states/eV/f.u.
ΔE_f = 116 meV/atom

=====

A plane-wave DFT calculation with GGA-PBE was carried out for crystalline NaCaAcEu at its relaxed geometry.

a = 6.204 Å, b = 6.204 Å, c = 6.204 Å
α = 60.00°, β = 60.00°, γ = 60.00°
Positions (direct):
Eu (0.750, 0.750, 0.750)
Na (0.000, 0.000, 0.000)
Ac (0.500, 0.500, 0.500)
Ca (0.250, 0.250, 0.250)

density of states at the Fermi level = 10.23 states/eV/f.u.
ΔE_f = 189 meV/atom

=====

A plane-wave DFT calculation with GGA-PBE was carried out for crystalline CaAcNdEu at its relaxed geometry.

a = 6.135 Å, b = 6.135 Å, c = 6.135 Å
α = 60.00°, β = 60.00°, γ = 60.00°
Positions (direct):
Eu (0.500, 0.500, 0.500)
Ac (0.000, 0.000, 0.000)
Nd (0.750, 0.750, 0.750)
Ca (0.250, 0.250, 0.250)

density of states at the Fermi level = 3.95 states/eV/f.u.
ΔE_f = 92 meV/atom

=====

Look up the density of states at the Fermi level of the third one.
3.95 states/eV/f.u.